Record 1
# Ru2RhBr

A geometry-optimized Ru2RhBr structure (PBE, Alexandria).

```
Ru2RhBr
1.0
2.8988 0.0000 0.0000
0.0000 2.8988 0.0000
0.0000 0.0000 7.3066
Br Ru Rh
1 2 1
Direct
0.5000 0.5000 0.2500 Br
0.0000 0.0000 0.9925 Ru
0.0000 0.0000 0.5075 Ru
0.5000 0.5000 0.7500 Rh
```

N(E_F)	6.09	states/eV/cell
total energy	-24.7	eV per cell
energy relative to the lowest polymorph listed for this composition	0.206	eV/atom
symmetry	No. 123
volume	61	Å³/f.u.


Record 2
# RuRh2Br

A geometry-optimized RuRh2Br structure (PBE, Alexandria).

```
RuRh2Br
1.0
9.0067 0.0036 0.0021
8.5499 2.8320 0.0021
8.5499 1.3809 2.4725
Ru Rh Br
1 2 1
Direct
0.2500 0.2500 0.2500 Ru
0.5049 0.5049 0.5049 Rh
0.9951 0.9951 0.9951 Rh
0.7500 0.7500 0.7500 Br
```

N(E_F)	4.76	states/eV/cell
total energy	-23.7	eV per cell
energy relative to the lowest polymorph listed for this composition	0.049	eV/atom
symmetry	No. 166
volume	63	Å³/f.u.


Record 3
# Ru2RhBr

A geometry-optimized Ru2RhBr structure (PBE, Alexandria).

```
Ru2RhBr
1.0
5.3430 0.0017 -0.0067
2.5735 4.6823 0.0067
-3.3528 -3.3653 2.4455
Br Ru Rh
1 2 1
Direct
0.5072 0.5072 0.0000 Br
0.7414 0.2414 0.5000 Ru
0.9891 0.9891 0.0000 Ru
0.2623 0.7623 0.5000 Rh
```

N(E_F)	5.71	states/eV/cell
total energy	-24.4	eV per cell
energy relative to the lowest polymorph listed for this composition	0.287	eV/atom
symmetry	No. 44
volume	61	Å³/f.u.


Record 4
# RuRhBr2

A geometry-optimized RuRhBr2 structure (PBE, Alexandria).

```
RuRhBr2
1.0
-3.2786 4.2473 -0.2357
-4.4508 -1.3771 2.6718
5.2569 1.0724 0.2447
Br Ru Rh
2 1 1
Direct
0.5128 0.5128 0.0000 Br
0.9872 0.9872 0.0000 Br
0.7500 0.2500 0.5000 Ru
0.2500 0.7500 0.5000 Rh
```

N(E_F)	5.92	states/eV/cell
total energy	-16.7	eV per cell
energy relative to the lowest polymorph listed for this composition	0.586	eV/atom
symmetry	No. 71
volume	74	Å³/f.u.


Record 5
# Ru2RhBr

A geometry-optimized Ru2RhBr structure (PBE, Alexandria).

```
Ru2RhBr
1.0
8.7989 -0.0210 -0.0124
8.3353 2.8183 -0.0124
8.3353 1.3608 2.4681
Ru Rh Br
2 1 1
Direct
0.2529 0.2529 0.2529 Ru
0.9982 0.9982 0.9982 Ru
0.7472 0.7472 0.7472 Rh
0.5018 0.5018 0.5018 Br
```

N(E_F)	5.09	states/eV/cell
total energy	-25.4	eV per cell
energy relative to the lowest polymorph listed for this composition	0.037	eV/atom
symmetry	No. 160
volume	62	Å³/f.u.


Record 6
# RuRh2Br

A geometry-optimized RuRh2Br structure (PBE, Alexandria).

```
RuRh2Br
1.0
-3.4188 -5.0151 1.3851
5.1891 -3.4070 0.4725
1.1525 -3.2093 5.2158
Rh Br Ru
4 2 2
Direct
0.6500 0.1250 0.2500 Rh
0.3750 0.3500 0.7500 Rh
0.8750 0.9000 0.7500 Rh
0.1000 0.6250 0.2500 Rh
0.2500 0.7500 0.5000 Br
0.5000 0.5000 0.0000 Br
0.7500 0.2500 0.5000 Ru
0.0000 0.0000 0.0000 Ru
```

N(E_F)	7.63	states/eV/cell
total energy	-44.3	eV per cell
energy relative to the lowest polymorph listed for this composition	0.439	eV/atom
symmetry	No. 122
volume	85	Å³/f.u.


Record 7
# Ru2RhBr

A geometry-optimized Ru2RhBr structure (PBE, Alexandria).

```
Ru2RhBr
1.0
2.8262 -0.0001 0.0000
-1.4335 2.4357 0.0000
0.0000 0.0000 9.3218
Ru Br Rh
2 1 1
Direct
0.5000 0.5000 0.2370 Ru
0.0000 0.0000 0.0033 Ru
0.0000 0.0000 0.4967 Br
0.5000 0.5000 0.7630 Rh
```

N(E_F)	5.37	states/eV/cell
total energy	-24.4	eV per cell
energy relative to the lowest polymorph listed for this composition	0.268	eV/atom
symmetry	No. 35
volume	64	Å³/f.u.


Record 8
# RuRh2Br

A geometry-optimized RuRh2Br structure (PBE, Alexandria).

```
RuRh2Br
1.0
-1.5011 0.6399 4.2079
-3.7121 -0.1088 2.5646
0.4993 -6.2070 2.1559
Ru Rh Br
1 2 1
Direct
0.4674 0.4674 0.4136 Ru
0.2084 0.2084 0.2669 Rh
0.9529 0.9529 0.0856 Rh
0.8713 0.8713 0.7339 Br
```

N(E_F)	6.12	states/eV/cell
total energy	-23.5	eV per cell
energy relative to the lowest polymorph listed for this composition	0.114	eV/atom
symmetry	No. 8
volume	80	Å³/f.u.


Question: volume of number 5 (Ru2RhBr)?
Answer: 62 Å³/f.u.


Question: The highest volume belongs to which entry?
Answer: number 6


Question: Which value of volume does entry 3 give?
Answer: 61 Å³/f.u.